Below is MnCuBrO2 after structural relaxation, with properties calculated at the PBE with a Hubbard U level.

D(E_F)   0.195 states/eV/atom
Raw total energy   -5.435 eV per atom
Spin magnetization   0.99 μB per atom

```
10
Lattice="2.6157 -5.8207 0.0000 2.6157 5.8207 0.0000 0.0000 0.0000 5.2230" Properties=species:S:1:pos:R:3 pbc="T T T"
Mn 2.6157 4.5632 3.9173
Mn 2.6157 -4.5632 1.3058
Cu 2.6157 0.2344 3.9173
Cu 2.6157 -0.2344 1.3058
Br 2.6157 2.9969 1.3058
Br 2.6157 -2.9969 3.9173
O 1.3270 0.0000 0.0000
O 1.3270 0.0000 2.6115
O 3.9043 0.0000 0.0000
O 3.9043 0.0000 2.6115
```